Material: Cr2IF
Method: DFT, PBE+U
State: optimized geometry

The structure belongs to space group I-42d (No. 122); the cell edges are 5.603, 5.603 and 12.827 Å and the angles 90.00°, 90.00° and 90.00°. Symmetry generates all atoms from Cr at (0.144, 0.250, 0.125), I at (0.000, 0.000, 0.500) and F at (0.000, 0.000, 0.000).

The calculation puts the energy above the most stable polymorph in this dataset at 0.00 eV per formula unit. The crystal system is tetragonal. The value obtained for the magnetization is 10.0 μB/f.u.